# 1
Crystalline Ca2Ga3Pt4Au at its relaxed geometry, computed with PBE.

a = 4.1540 Å, b = 4.1540 Å, c = 11.2819 Å
α = 90.00°, β = 90.00°, γ = 90.00°
With the nearest neighbours (Å) after each atom.
Atoms (fractional coordinates):
Ca: 0.5000 0.0000 0.2553  4 Pt 3.11, 6 Ga 3.26-3.45, 2 Au 3.45
Ca: 0.0000 0.5000 0.7447  4 Pt 3.11, 6 Ga 3.26-3.45, 2 Au 3.45
Ga: 0.0000 0.0000 0.5000  4 Pt 2.72, 4 Au 2.94
Ga: 0.5000 0.0000 0.8708  5 Pt 2.43-2.54
Ga: 0.0000 0.5000 0.1292  5 Pt 2.43-2.54
Pt: 0.5000 0.5000 0.0000  4 Ga 2.54
Pt: 0.0000 0.0000 0.0000  4 Ga 2.54
Pt: 0.5000 0.0000 0.6550  3 Ga 2.43-2.72, 2 Au 2.72
Pt: 0.0000 0.5000 0.3450  3 Ga 2.43-2.72, 2 Au 2.72
Au: 0.5000 0.5000 0.5000  4 Pt 2.72, 4 Ga 2.94

Values from the calculation:
DFT formation energy ... -764.0 kJ/mol of formula units
Space-group type ... P-4m2 (115)
Crystal system ... tetragonal

***

# 2
Crystalline ZnIn2Si2Ir5 at its relaxed geometry, computed with PBE.

a = 3.4704 Å, b = 9.5019 Å, c = 9.5019 Å
α = 90.00°, β = 90.00°, γ = 90.00°
With the nearest neighbours (Å) after each atom.
Atoms (fractional coordinates):
Zn: 0.0000 0.0000 0.0000  8 Ir 2.70
Zn: 0.0000 0.5000 0.5000  8 Ir 2.70
In: 0.0000 0.6712 0.1712  3 Si 2.66-2.90, 6 Ir 2.88-2.95
In: 0.0000 0.3288 0.8288  3 Si 2.66-2.90, 6 Ir 2.88-2.95
In: 0.0000 0.1712 0.3288  3 Si 2.66-2.90, 6 Ir 2.88-2.95
In: 0.0000 0.8288 0.6712  3 Si 2.66-2.90, 6 Ir 2.88-2.95
Si: 0.0000 0.1310 0.6310  6 Ir 2.40-2.47, 1 In 2.66
Si: 0.0000 0.8690 0.3690  6 Ir 2.40-2.47, 1 In 2.66
Si: 0.0000 0.6310 0.8690  6 Ir 2.40-2.47, 1 In 2.66
Si: 0.0000 0.3690 0.1310  6 Ir 2.40-2.47, 1 In 2.66
Ir: 0.5000 0.2021 0.0796  2 Si 2.40
Ir: 0.5000 0.7979 0.9204  2 Si 2.40
Ir: 0.5000 0.0796 0.7979  2 Si 2.40
Ir: 0.5000 0.7021 0.4204  2 Si 2.40
Ir: 0.5000 0.9204 0.2021  2 Si 2.40
Ir: 0.5000 0.2979 0.5796  2 Si 2.40
Ir: 0.5000 0.5796 0.7021  2 Si 2.40
Ir: 0.5000 0.4204 0.2979  2 Si 2.40
Ir: 0.5000 0.5000 0.0000  4 Si 2.47
Ir: 0.5000 0.0000 0.5000  4 Si 2.47

Values from the calculation:
Raw formation energy ... -0.22 eV/atom
Space-group type ... P4/mbm (127)
Crystal system ... tetragonal

***

# 3
Crystalline CsHg3Ge at its relaxed geometry, computed with PBE.

a = 5.6568 Å, b = 5.6568 Å, c = 5.6568 Å
α = 90.00°, β = 90.00°, γ = 90.00°
With the nearest neighbours (Å) after each atom.
Atoms (fractional coordinates):
Cs: 0.5000 0.5000 0.5000  12 Hg 4.00
Ge: 0.0000 0.0000 0.0000  6 Hg 2.83
Hg: 0.0000 0.5000 0.0000  2 Ge 2.83
Hg: 0.0000 0.0000 0.5000  2 Ge 2.83
Hg: 0.5000 0.0000 0.0000  2 Ge 2.83

Values from the calculation:
DFT formation energy ... -25.3 kJ/mol of formula units
Space-group type ... Pm-3m (221)
Crystal system ... cubic
Distance to the lowest polymorph of the same formula ... 0 meV per atom

***

> Number 1 is which compound?

Ca2Ga3Pt4Au